Computed, not measured: an optimized crystal structure of Sc4HgRu at the GGA-PBE level of DFT.

a = 5.5574 Å, b = 5.5574 Å, c = 5.5574 Å
α = 60.00°, β = 60.00°, γ = 60.00°
With the nearest neighbours (Å) after each atom.
Element x y z (fractional)
Sc 0.3731 0.8808 0.3731  6 Sc 2.74-2.82
Sc 0.8808 0.3731 0.3731  6 Sc 2.74-2.82
Sc 0.3731 0.3731 0.8808  6 Sc 2.74-2.82
Ru 0.0000 0.0000 0.0000  12 Sc 3.25, 4 Hg 3.40
Sc 0.3731 0.3731 0.3731  6 Sc 2.74-2.82
Hg 0.7500 0.7500 0.7500  12 Sc 3.26, 4 Ru 3.40

Results
energy above the lowest structure with this stoichiometry	722	meV/atom
calculated total energy	-5.477	eV/atom
ΔE_f	33	kJ/mol of atoms
space group	F-43m

***

Computed, not measured: an optimized crystal structure of ScHgRu2 at the GGA-PBE level of DFT.

a = 5.3577 Å, b = 5.3577 Å, c = 5.3577 Å
α = 145.46°, β = 127.88°, γ = 64.04°
With the nearest neighbours (Å) after each atom.
Element x y z (fractional)
Ru 0.0153 0.0153 0.0000  2 Sc 2.66, 4 Ru 2.85, 2 Hg 2.89
Ru 0.4847 0.4847 0.0000  2 Sc 2.66, 4 Ru 2.85, 2 Hg 2.89
Sc 0.2500 0.7500 0.5000  4 Ru 2.66, 4 Hg 2.84
Hg 0.7500 0.2500 0.5000  4 Sc 2.84, 8 Ru 2.89-3.18, 2 Hg 3.18

Results
calculated total energy	-6.145	eV/atom
ΔE_f	15	kJ/mol of atoms
space group	Immm

***

Computed, not measured: an optimized crystal structure of ScHgRu2 at the GGA-PBE level of DFT.

a = 3.8990 Å, b = 2.9986 Å, c = 5.8357 Å
α = 90.00°, β = 90.00°, γ = 90.00°
With the nearest neighbours (Å) after each atom.
Element x y z (fractional)
Ru 0.5000 0.5000 0.0832  1 Sc 2.53, 4 Ru 2.70
Sc 0.5000 0.5000 0.5174  5 Ru 2.53-2.84
Hg 0.0000 0.0000 0.8001  6 Ru 2.77-3.06, 4 Sc 2.96, 2 Hg 3.00
Ru 0.0000 0.0000 0.2752  6 Ru 2.70-3.00, 1 Hg 2.77, 4 Sc 2.84

Results
calculated total energy	-6.332	eV/atom
ΔE_f	-3	kJ/mol of atoms
space group	Pmm2

***

Computed, not measured: an optimized crystal structure of ScHgRu2 at the GGA-PBE level of DFT.

a = 3.2754 Å, b = 4.7306 Å, c = 4.3748 Å
α = 90.00°, β = 90.00°, γ = 90.00°
With the nearest neighbours (Å) after each atom.
Element x y z (fractional)
Ru 0.5000 0.5000 0.0000  4 Hg 2.73, 4 Ru 2.88
Sc 0.5000 0.0000 0.5000  4 Ru 2.73, 4 Hg 2.88
Hg 0.0000 0.5000 0.5000  4 Ru 2.73, 4 Sc 2.88
Ru 0.0000 0.0000 0.0000  4 Sc 2.73, 4 Ru 2.88

Results
calculated total energy	-6.191	eV/atom
ΔE_f	10	kJ/mol of atoms
space group	Pmmm